(1)
Entry from Alexandria via LeMat-Bulk: a relaxed structure of RbLiPb11 (PBE).

Cell lengths 6.431, 8.848, 8.545 Å; angles 82.95, 67.90, 70.95 degrees
Element x y z (fractional)
Rb1 0.000 0.000 0.000
Li1 0.500 0.500 0.000
Pb1 0.287 0.231 0.217
Pb2 0.713 0.769 0.783
Pb3 0.496 0.769 0.217
Pb4 0.504 0.231 0.783
Pb5 0.354 0.642 0.647
Pb6 0.646 0.358 0.353
Pb7 0.000 0.358 0.647
Pb8 0.000 0.642 0.353
Pb9 0.000 0.500 0.000
Pb10 0.500 0.000 0.500
Pb11 0.000 0.000 0.500

Calculated values
Crystal system ... monoclinic
E_form ... -62.5 meV per atom

=====

(2)
Entry from Alexandria via LeMat-Bulk: a relaxed structure of RbLiPb2 (PBE).

Cell lengths 4.888, 4.888, 7.486 Å; angles 70.94, 70.94, 60.00 degrees
Element x y z (fractional)
Rb1 0.497 0.497 0.509
Li1 0.680 0.680 0.961
Pb1 0.034 0.034 0.897
Pb2 0.289 0.289 0.133

Calculated values
Crystal system ... trigonal
Energy above the most stable polymorph in this dataset ... 0.000 eV per formula unit
E_form ... -202.7 meV per atom